DFT (PBE-GGA) results for an optimized crystal structure of PmHo3Al8.

As for the relative energy among the computed polymorphs: 0.0000 eV/atom. The value obtained for the total energy is -54.5 eV for the cell shown. The calculation puts the total magnetization at 0.00 μB per formula unit. The calculation puts the formation energy at -0.510 eV per atom. Its space group is R3m, No. 160. The density of states at the Fermi level is 10.10 states/eV/cell.

Cell: 5.564 5.564 9.684 Å, 73.30 73.30 60.00°
Atoms (fractional coordinates):
Ho (0.375, 0.375, 0.874)
Ho (0.499, 0.499, 0.502)
Ho (0.000, 0.000, 0.000)
Al (0.187, 0.187, 0.438)
Al (0.438, 0.438, 0.185)
Al (0.438, 0.939, 0.185)
Al (0.937, 0.436, 0.690)
Al (0.939, 0.438, 0.185)
Al (0.937, 0.937, 0.690)
Al (0.436, 0.937, 0.690)
Al (0.688, 0.688, 0.937)
Pm (0.875, 0.875, 0.375)